(1)
## Mg2RuCl (PBEsol)

Data for Mg2RuCl after structural relaxation.

Structure (POSCAR):
```
Mg2RuCl
1.0
2.883 0.000 0.000
0.000 4.537 0.000
0.000 0.000 5.418
Ru Mg Cl
1 2 1
Direct
0.000 0.000 0.417
0.500 0.500 0.315
0.000 0.000 0.933
0.500 0.500 0.835
```

Summary:
Space group = No. 25
Uncorrected energy = -15.60 eV per cell
Formation energy from raw total energies = 0.00 eV per atom


(2)
## MgRuCl2 (PBEsol)

Data for MgRuCl2 after structural relaxation.

Structure (POSCAR):
```
MgRuCl2
1.0
3.130 0.102 0.000
-1.338 2.831 0.000
0.000 0.000 8.596
Ru Cl Mg
1 2 1
Direct
0.500 0.500 0.243
0.500 0.500 0.688
0.000 0.000 0.069
0.000 0.000 0.500
```

Summary:
Space group = No. 35
Uncorrected energy = -16.97 eV per cell
Energy above the lowest structure with this stoichiometry = 39 meV per atom
Formation energy from raw total energies = -0.27 eV per atom


(3)
## MgRuCl2 (PBEsol)

Data for MgRuCl2 after structural relaxation.

Structure (POSCAR):
```
MgRuCl2
1.0
-0.377 -0.777 3.316
1.393 -4.036 -2.488
3.808 3.103 -0.539
Ru Cl Mg
1 2 1
Direct
0.000 0.500 0.500
0.000 0.000 0.500
0.000 0.500 0.000
0.000 0.000 0.000
```

Summary:
Space group = No. 12
Uncorrected energy = -16.24 eV per cell
Energy above the lowest structure with this stoichiometry = 221 meV per atom
Formation energy from raw total energies = -0.08 eV per atom


(4)
## MgS2Cl2 (PBEsol)

Data for MgS2Cl2 after structural relaxation.

Structure (POSCAR):
```
MgS2Cl2
1.0
6.475 0.000 0.000
0.000 6.475 0.000
0.000 0.000 6.655
Cl S Mg
4 4 2
Direct
0.683 0.183 0.000
0.817 0.683 0.000
0.183 0.317 0.000
0.317 0.817 0.000
0.603 0.897 0.500
0.897 0.397 0.500
0.397 0.103 0.500
0.103 0.603 0.500
0.000 0.000 0.000
0.500 0.500 0.000
```

Summary:
Space group = No. 127
Uncorrected energy = -35.47 eV per cell
Formation energy from raw total energies = -0.65 eV per atom


(5)
## MgSnSCl2 (PBEsol)

Data for MgSnSCl2 after structural relaxation.

Structure (POSCAR):
```
MgSnSCl2
1.0
4.461 0.000 0.000
0.000 4.461 0.000
0.000 0.000 12.013
S Sn Cl Mg
1 1 2 1
Direct
0.500 0.500 0.500
0.000 0.000 0.500
0.000 0.500 0.000
0.500 0.000 0.000
0.000 0.000 0.000
```

Summary:
Space group = No. 123
Uncorrected energy = -17.25 eV per cell
Formation energy from raw total energies = -0.58 eV per atom


(6)
## SrMgS2Cl (PBEsol)

Data for SrMgS2Cl after structural relaxation.

Structure (POSCAR):
```
SrMgS2Cl
1.0
-4.745 -1.267 -1.962
1.430 -5.233 -0.079
-1.922 -0.602 5.038
S Cl Mg Sr
2 1 1 1
Direct
0.000 0.000 0.500
0.000 0.500 0.000
0.500 0.000 0.000
0.500 0.500 0.500
0.000 0.000 0.000
```

Summary:
Space group = No. 123
Uncorrected energy = -16.60 eV per cell
Formation energy from raw total energies = -0.45 eV per atom


(7)
## MgTcS2Cl (PBEsol)

Data for MgTcS2Cl after structural relaxation.

Structure (POSCAR):
```
MgTcS2Cl
1.0
-2.779 2.620 -2.466
-3.484 -3.221 0.505
-1.456 2.199 3.977
S Cl Tc Mg
2 1 1 1
Direct
0.000 0.500 0.000
0.000 0.000 0.500
0.500 0.000 0.000
0.500 0.500 0.500
0.000 0.000 0.000
```

Summary:
Space group = No. 123
Uncorrected energy = -21.68 eV per cell
Formation energy from raw total energies = 0.42 eV per atom


(8)
## MgTiS2Cl (PBEsol)

Data for MgTiS2Cl after structural relaxation.

Structure (POSCAR):
```
MgTiS2Cl
1.0
-2.656 -3.477 1.136
3.548 -3.005 -0.901
1.448 0.363 4.494
Ti Cl Mg S
1 1 1 2
Direct
0.500 0.500 0.500
0.500 0.000 0.000
0.000 0.000 0.000
0.000 0.000 0.500
0.000 0.500 0.000
```

Summary:
Space group = No. 123
Uncorrected energy = -22.33 eV per cell
Formation energy from raw total energies = -0.30 eV per atom